# 1
AcEr2Ge | PBE-GGA | optimized geometry

Cell: 4.8458 4.8458 4.8469 Å, 90.00 90.00 90.00°
With the nearest neighbours (Å) after each atom.
Fractional coordinates of all 4 atoms:
Ac  0.0000  0.0000  0.0000  4 Ge 3.43, 8 Er 3.43
Er  0.0000  0.5000  0.5000  4 Er 3.43, 4 Ge 3.43, 4 Ac 3.43
Er  0.5000  0.0000  0.5000  4 Er 3.43, 4 Ge 3.43, 4 Ac 3.43
Ge  0.5000  0.5000  0.0000  4 Ac 3.43, 8 Er 3.43

Summary:
ΔE to the lowest computed polymorph	0.071	eV per atom

# 2
AcErGe | PBE-GGA | optimized geometry

Cell: 4.8646 4.8646 4.6007 Å, 90.00 90.00 120.00°
With the nearest neighbours (Å) after each atom.
Fractional coordinates of all 3 atoms:
Ac  0.0000  0.0000  0.0000  6 Ge 3.63, 6 Er 3.63
Er  0.6667  0.3333  0.5002  3 Ge 2.81
Ge  0.3333  0.6667  0.4985  3 Er 2.81

Summary:
ΔE to the lowest computed polymorph	0.123	eV per atom

# 3
AcErGe | PBE-GGA | optimized geometry

Cell: 5.1351 5.1351 5.1351 Å, 60.00 60.00 60.00°
With the nearest neighbours (Å) after each atom.
Fractional coordinates of all 3 atoms:
Ac  0.0000  0.0000  0.0000  4 Ge 3.14
Er  0.5000  0.5000  0.5000  4 Ge 3.14
Ge  0.2500  0.2500  0.2500  4 Er 3.14, 4 Ac 3.14

Summary:
ΔE to the lowest computed polymorph	0.177	eV per atom

# 4
Ac2ErGe2 | PBE-GGA | optimized geometry

Cell: 8.9708 8.9708 8.2707 Å, 90.00 90.00 149.95°
With the nearest neighbours (Å) after each atom.
Fractional coordinates of all 10 atoms:
Ac  0.0445  0.9555  0.5000  5 Ge 3.17-3.40, 2 Er 3.54
Ac  0.2067  0.7933  0.8493  5 Ge 3.22-3.46
Ac  0.7933  0.2067  0.3493  5 Ge 3.22-3.46
Ac  0.9555  0.0445  0.0000  5 Ge 3.17-3.40, 2 Er 3.54
Er  0.4067  0.5933  0.6434  4 Ge 2.83-2.96
Er  0.5933  0.4067  0.1434  4 Ge 2.83-2.96
Ge  0.1756  0.8244  0.2334  2 Er 2.83, 1 Ac 3.17
Ge  0.4390  0.5610  0.2981  2 Er 2.91-2.96
Ge  0.5610  0.4390  0.7981  2 Er 2.91-2.96
Ge  0.8244  0.1756  0.7334  2 Er 2.83, 1 Ac 3.17

Summary:
ΔE to the lowest computed polymorph	0.083	eV per atom

# 5
Ac5ErGe4 | PBE-GGA | optimized geometry

Cell: 10.6771 10.6771 8.2719 Å, 112.76 112.76 24.50°
With the nearest neighbours (Å) after each atom.
Fractional coordinates of all 10 atoms:
Ac  0.0000  0.0000  0.0000  4 Ge 3.19
Ac  0.3389  0.3389  0.0872  4 Ge 3.10-3.42
Ac  0.3385  0.3385  0.5879  4 Ge 3.09-3.44
Ac  0.6615  0.6615  0.4121  4 Ge 3.09-3.44
Ac  0.6611  0.6611  0.9128  4 Ge 3.10-3.42
Er  0.0000  0.0000  0.5000  4 Ge 2.95
Ge  0.1957  0.1957  0.6967  6 Ac 3.14-3.44
Ge  0.5003  0.5003  0.2721  2 Er 2.95, 4 Ac 3.09-3.19
Ge  0.4997  0.4997  0.7279  2 Er 2.95, 4 Ac 3.09-3.19
Ge  0.8043  0.8043  0.3033  6 Ac 3.14-3.44

Summary:
electronic total energy	-0.17878	Ha/atom

# 6
AcErGe2 | PBE-GGA | optimized geometry

Cell: 3.8737 3.8737 6.7757 Å, 90.00 90.00 90.00°
With the nearest neighbours (Å) after each atom.
Fractional coordinates of all 4 atoms:
Ac  0.0000  0.0000  0.0000  2 Er 3.39, 8 Ge 3.42
Er  0.0000  0.0000  0.5000  8 Ge 3.05, 2 Ac 3.39
Ge  0.5000  0.5000  0.3022  1 Ge 2.68
Ge  0.5000  0.5000  0.6978  1 Ge 2.68

Summary:
electronic total energy	-0.18748	Ha/atom

# 7
Ac2ErGe2 | PBE-GGA | optimized geometry

Cell: 7.9210 7.9210 4.7516 Å, 90.00 90.00 90.00°
With the nearest neighbours (Å) after each atom.
Fractional coordinates of all 10 atoms:
Ac  0.1763  0.3237  0.0000  6 Ge 3.28-3.38
Ac  0.3237  0.8237  0.0000  6 Ge 3.28-3.38
Ac  0.6763  0.1763  0.0000  6 Ge 3.28-3.38
Ac  0.8237  0.6763  0.0000  6 Ge 3.28-3.38
Er  0.0000  0.0000  0.5000  4 Ge 3.15
Er  0.5000  0.5000  0.5000  4 Ge 3.15
Ge  0.1220  0.6220  0.5000  1 Ge 2.73
Ge  0.3780  0.1220  0.5000  1 Ge 2.73
Ge  0.6220  0.8780  0.5000  1 Ge 2.73
Ge  0.8780  0.3780  0.5000  1 Ge 2.73

Summary:
ΔE to the lowest computed polymorph	0.000	eV per atom

# 8
AcEr2Ge | PBE-GGA | optimized geometry

Cell: 9.6578 9.6578 9.6578 Å, 24.26 24.26 24.26°
With the nearest neighbours (Å) after each atom.
Fractional coordinates of all 4 atoms:
Ac  0.0000  0.0000  0.0000  6 Er 3.90, 6 Ac 4.06
Er  0.2224  0.2224  0.2224  3 Ge 2.82
Er  0.7776  0.7776  0.7776  3 Ge 2.82
Ge  0.5000  0.5000  0.5000  6 Er 2.82

Summary:
ΔE to the lowest computed polymorph	0.000	eV per atom

# 9
AcErHgGe | PBE-GGA | optimized geometry

Cell: 5.3920 5.3920 5.3920 Å, 60.00 60.00 60.00°
With the nearest neighbours (Å) after each atom.
Fractional coordinates of all 4 atoms:
Ac  0.0000  0.0000  0.0000  4 Hg 3.30, 4 Ge 3.30
Er  0.5000  0.5000  0.5000  4 Ge 3.30, 4 Hg 3.30
Hg  0.7500  0.7500  0.7500  4 Ac 3.30, 4 Er 3.30
Ge  0.2500  0.2500  0.2500  4 Ac 3.30, 4 Er 3.30

Summary:
electronic total energy	-0.14213	Ha/atom

# 10
AcErGeIr | PBE-GGA | optimized geometry

Cell: 5.1684 5.1684 5.1684 Å, 60.00 60.00 60.00°
With the nearest neighbours (Å) after each atom.
Fractional coordinates of all 4 atoms:
Ac  0.0000  0.0000  0.0000  4 Ge 3.16, 4 Ir 3.16
Er  0.5000  0.5000  0.5000  4 Ge 3.16, 4 Ir 3.16
Ge  0.7500  0.7500  0.7500  4 Ac 3.16, 4 Er 3.16
Ir  0.2500  0.2500  0.2500  4 Ac 3.16, 4 Er 3.16

Summary:
electronic total energy	-0.22175	Ha/atom

# 11
Li2AcErGe2 | PBE-GGA | optimized geometry

Cell: 4.5229 4.5229 7.6687 Å, 90.00 90.00 120.00°
With the nearest neighbours (Å) after each atom.
Fractional coordinates of all 6 atoms:
Li  0.3333  0.6667  0.1872  3 Ge 2.62
Li  0.6667  0.3333  0.8128  3 Ge 2.62
Ac  0.0000  0.0000  0.5000  6 Ge 3.38, 6 Li 3.55
Er  0.0000  0.0000  0.0000  6 Li 2.98, 6 Ge 3.11
Ge  0.3333  0.6667  0.7806  3 Li 2.62
Ge  0.6667  0.3333  0.2194  3 Li 2.62

Summary:
electronic total energy	-0.15710	Ha/atom

# 12
LiAcErGe | PBE-GGA | optimized geometry

Cell: 5.2918 5.2918 5.2918 Å, 60.00 60.00 60.00°
With the nearest neighbours (Å) after each atom.
Fractional coordinates of all 4 atoms:
Li  0.0000  0.0000  0.0000  4 Ac 3.24, 4 Er 3.24
Ac  0.7500  0.7500  0.7500  4 Ge 3.24, 4 Li 3.24
Er  0.2500  0.2500  0.2500  4 Ge 3.24, 4 Li 3.24
Ge  0.5000  0.5000  0.5000  4 Ac 3.24, 4 Er 3.24

Summary:
electronic total energy	-0.15059	Ha/atom

# 13
AcErMgGe | PBE-GGA | optimized geometry

Cell: 5.3779 5.3779 5.3779 Å, 60.00 60.00 60.00°
With the nearest neighbours (Å) after each atom.
Fractional coordinates of all 4 atoms:
Ac  0.0000  0.0000  0.0000  4 Mg 3.29, 4 Ge 3.29
Er  0.5000  0.5000  0.5000  4 Ge 3.29, 4 Mg 3.29
Mg  0.7500  0.7500  0.7500  4 Er 3.29, 4 Ac 3.29
Ge  0.2500  0.2500  0.2500  4 Er 3.29, 4 Ac 3.29

Summary:
electronic total energy	-0.14637	Ha/atom

# 14
Ac3ErGe2N6 | PBE-GGA | optimized geometry

Cell: 6.0729 6.0729 6.7063 Å, 90.00 90.00 120.00°
With the nearest neighbours (Å) after each atom.
Fractional coordinates of all 12 atoms:
Ac  0.0000  0.0000  0.0000  6 N 2.70
Ac  0.3333  0.6667  0.6359  9 N 2.83-3.07, 1 Ge 3.08
Ac  0.6667  0.3333  0.3641  9 N 2.83-3.07, 1 Ge 3.08
Er  0.0000  0.0000  0.5000  6 N 2.28
Ge  0.3333  0.6667  0.1767  3 N 1.86
Ge  0.6667  0.3333  0.8233  3 N 1.86
N  0.1733  0.3466  0.2962  1 Ge 1.86
N  0.1733  0.8267  0.2962  1 Ge 1.86
N  0.3466  0.1733  0.7038  1 Ge 1.86
N  0.6534  0.8267  0.2962  1 Ge 1.86
N  0.8267  0.1733  0.7038  1 Ge 1.86
N  0.8267  0.6534  0.7038  1 Ge 1.86

Summary:
electronic total energy	-0.26332	Ha/atom

# 15
AcErGe2O8 | PBE-GGA | optimized geometry

Cell: 6.9471 6.9471 6.9471 Å, 135.91 135.91 64.12°
With the nearest neighbours (Å) after each atom.
Fractional coordinates of all 12 atoms:
Ac  0.0000  0.0000  0.0000  8 O 2.54-2.59
Er  0.2500  0.7500  0.5000  8 O 2.35-2.41
Ge  0.5000  0.5000  0.0000  4 O 1.79
Ge  0.7500  0.2500  0.5000  4 O 1.78
O  0.2923  0.6720  0.1332  1 Ge 1.79
O  0.3280  0.4611  0.6203  1 Ge 1.79
O  0.4223  0.0190  0.0862  1 Ge 1.78
O  0.5389  0.1592  0.8668  1 Ge 1.79
O  0.6639  0.5777  0.5967  1 Ge 1.78
O  0.8408  0.7077  0.3797  1 Ge 1.79
O  0.9328  0.3361  0.9138  1 Ge 1.78
O  0.9810  0.0672  0.4033  1 Ge 1.78

Summary:
electronic total energy	-0.25754	Ha/atom

# 16
AcErGeO5 | PBE-GGA | optimized geometry

Cell: 6.0491 6.0491 7.6295 Å, 102.22 102.22 107.74°
With the nearest neighbours (Å) after each atom.
Fractional coordinates of all 16 atoms:
Ac  0.1680  0.8320  0.7500  1 O 2.30
Ac  0.8320  0.1680  0.2500  1 O 2.30
Er  0.5000  0.5000  0.0000  6 O 2.13-2.32
Er  0.5000  0.5000  0.5000  6 O 2.13-2.32
Ge  0.1788  0.8212  0.2500  4 O 1.79
Ge  0.8212  0.1788  0.7500  4 O 1.79
O  0.1017  0.2344  0.9191  1 Ge 1.79
O  0.1736  0.6023  0.3762  1 Ge 1.79
O  0.2344  0.1017  0.4191  1 Ge 1.79
O  0.3977  0.8264  0.1238  1 Ge 1.79
O  0.4038  0.5962  0.7500  2 Er 2.13, 1 Ac 2.30
O  0.5962  0.4038  0.2500  2 Er 2.13, 1 Ac 2.30
O  0.6023  0.1736  0.8762  1 Ge 1.79
O  0.7656  0.8983  0.5809  1 Ge 1.79
O  0.8264  0.3977  0.6238  1 Ge 1.79
O  0.8983  0.7656  0.0809  1 Ge 1.79

Summary:
electronic total energy	-0.28092	Ha/atom

# 17
Ac2ErGe4Pd3 | PBE-GGA | optimized geometry

Cell: 4.4231 4.4231 11.4202 Å, 90.00 90.00 90.00°
With the nearest neighbours (Å) after each atom.
Fractional coordinates of all 10 atoms:
Ac  0.0000  0.5000  0.2302  8 Ge 3.38-3.44, 4 Pd 3.38
Ac  0.5000  0.0000  0.7698  8 Ge 3.38-3.44, 4 Pd 3.38
Er  0.0000  0.0000  0.5000  4 Ge 2.85, 4 Pd 3.13
Ge  0.0000  0.0000  0.0000  4 Pd 2.58
Ge  0.0000  0.5000  0.6576  3 Pd 2.57-2.85, 2 Er 2.85
Ge  0.5000  0.0000  0.3424  3 Pd 2.57-2.85, 2 Er 2.85
Ge  0.5000  0.5000  0.0000  4 Pd 2.58
Pd  0.0000  0.5000  0.8830  5 Ge 2.57-2.58
Pd  0.5000  0.0000  0.1170  5 Ge 2.57-2.58
Pd  0.5000  0.5000  0.5000  4 Ge 2.85, 4 Er 3.13

Summary:
electronic total energy	-0.20229	Ha/atom

# 18
Ac2ErGePd6 | PBE-GGA | optimized geometry

Cell: 5.8106 6.6334 7.2599 Å, 78.67 66.41 64.06°
With the nearest neighbours (Å) after each atom.
Fractional coordinates of all 10 atoms:
Ac  0.2375  0.2915  0.2330  5 Pd 3.08-3.33
Ac  0.7625  0.7085  0.7670  5 Pd 3.08-3.33
Er  0.0000  0.0000  0.0000  6 Pd 2.73-2.77
Ge  0.5000  0.5000  0.5000  6 Pd 2.50-2.55
Pd  0.2525  0.9035  0.5952  1 Ge 2.50, 1 Er 2.77
Pd  0.2588  0.2598  0.7445  1 Ge 2.55, 1 Er 2.73, 3 Pd 2.79-2.84
Pd  0.2603  0.7410  0.2574  1 Ge 2.55, 1 Er 2.73, 3 Pd 2.79-2.84
Pd  0.7397  0.2590  0.7426  1 Ge 2.55, 1 Er 2.73, 3 Pd 2.79-2.84
Pd  0.7412  0.7402  0.2555  1 Ge 2.55, 1 Er 2.73, 3 Pd 2.79-2.84
Pd  0.7475  0.0965  0.4048  1 Ge 2.50, 1 Er 2.77

Summary:
electronic total energy	-0.20271	Ha/atom

# 19
Ac2ErGe3Pd12 | PBE-GGA | optimized geometry

Cell: 7.0395 7.0395 7.0395 Å, 84.40 84.40 84.40°
With the nearest neighbours (Å) after each atom.
Fractional coordinates of all 18 atoms:
Ac  0.1464  0.1464  0.1464  6 Pd 2.75-3.08
Ac  0.8536  0.8536  0.8536  6 Pd 2.75-3.08
Er  0.5000  0.5000  0.5000  6 Pd 2.72
Ge  0.0000  0.5000  0.5000  6 Pd 2.48-2.74
Ge  0.5000  0.0000  0.5000  6 Pd 2.48-2.74
Ge  0.5000  0.5000  0.0000  6 Pd 2.48-2.74
Pd  0.1237  0.1237  0.5864  2 Pd 2.70-2.99, 2 Ge 2.74
Pd  0.1237  0.5864  0.1237  2 Pd 2.70-2.99, 2 Ge 2.74
Pd  0.1894  0.6848  0.6848  1 Ge 2.48, 3 Pd 2.70-2.76, 1 Er 2.72, 1 Ac 2.75
Pd  0.3152  0.3152  0.8106  1 Ge 2.48, 3 Pd 2.70-2.76, 1 Er 2.72, 1 Ac 2.75
Pd  0.3152  0.8106  0.3152  1 Ge 2.48, 3 Pd 2.70-2.76, 1 Er 2.72, 1 Ac 2.75
Pd  0.4136  0.8763  0.8763  2 Pd 2.70-2.99, 2 Ge 2.74
Pd  0.5864  0.1237  0.1237  2 Pd 2.70-2.99, 2 Ge 2.74
Pd  0.6848  0.1894  0.6848  1 Ge 2.48, 3 Pd 2.70-2.76, 1 Er 2.72, 1 Ac 2.75
Pd  0.6848  0.6848  0.1894  1 Ge 2.48, 3 Pd 2.70-2.76, 1 Er 2.72, 1 Ac 2.75
Pd  0.8106  0.3152  0.3152  1 Ge 2.48, 3 Pd 2.70-2.76, 1 Er 2.72, 1 Ac 2.75
Pd  0.8763  0.4136  0.8763  2 Pd 2.70-2.99, 2 Ge 2.74
Pd  0.8763  0.8763  0.4136  2 Pd 2.70-2.99, 2 Ge 2.74

Summary:
electronic total energy	-0.19961	Ha/atom

# 20
AcErGePd | PBE-GGA | optimized geometry

Cell: 5.2361 5.2361 5.2361 Å, 60.00 60.00 60.00°
With the nearest neighbours (Å) after each atom.
Fractional coordinates of all 4 atoms:
Ac  0.0000  0.0000  0.0000  4 Pd 3.21, 4 Ge 3.21
Er  0.5000  0.5000  0.5000  4 Pd 3.21, 4 Ge 3.21
Ge  0.2500  0.2500  0.2500  4 Er 3.21, 4 Ac 3.21
Pd  0.7500  0.7500  0.7500  4 Ac 3.21, 4 Er 3.21

Summary:
electronic total energy	-0.19449	Ha/atom